(1)
CaZn4Rh | SCAN | single point on PBEsol structure

Unit cell a=5.054 b=5.054 c=5.054 alpha=60.00 beta=60.00 gamma=60.00
Sites, in units of the cell vectors:
Ca1 0.750 0.750 0.750
Rh1 0.000 0.000 0.000
Zn1 0.374 0.374 0.374
Zn2 0.374 0.374 0.879
Zn3 0.879 0.374 0.374
Zn4 0.374 0.879 0.374

## Properties
* ΔH_f (0 K): -0.336 eV/atom
* final energy: -99.510 eV/f.u.
* SG: F-43m (216)

(2)
Ca4ZnRh | SCAN | single point on PBEsol structure

Unit cell a=5.996 b=5.996 c=5.996 alpha=60.00 beta=60.00 gamma=60.00
Sites, in units of the cell vectors:
Ca1 0.872 0.376 0.376
Ca2 0.376 0.376 0.376
Ca3 0.376 0.376 0.872
Ca4 0.376 0.872 0.376
Rh1 0.750 0.750 0.750
Zn1 0.000 0.000 0.000

## Properties
* ΔH_f (0 K): 0.715 eV/atom
* final energy: -81.650 eV/f.u.
* SG: F-43m (216)

(3)
CaZn2Rh | SCAN | single point on PBEsol structure

Unit cell a=4.282 b=4.282 c=5.529 alpha=67.22 beta=67.22 gamma=60.00
Sites, in units of the cell vectors:
Zn1 0.014 0.014 0.957
Zn2 0.298 0.298 0.107
Rh1 0.686 0.686 0.941
Ca1 0.493 0.493 0.520

## Properties
* ΔH_f (0 K): -0.418 eV/atom
* final energy: -72.137 eV/f.u.
* SG: R3m (160)

Summary of V in A^3/atom
15.21, 25.41, 19.63
(order as listed above)